No. 1
Material: CoPdPb2
Method: DFT, GGA-PBE
State: relaxed

The structure belongs to space group I-42d (No. 122); the cell edges are 7.381, 7.381 and 6.328 Å and the angles 90.00°, 90.00° and 90.00°. The distinct sites, in fractional coordinates, are Co at (0.000, 0.000, 0.000), Pd at (0.000, 0.000, 0.500) and Pb at (0.230, 0.750, 0.125).

The calculation puts the calculated formation energy at 0.422 eV/atom. The total magnetization is 0.24 μB per atom.

---

No. 2
Material: CoPd2Pb
Method: DFT, GGA-PBE
State: relaxed

The structure belongs to space group I-42d (No. 122); the cell edges are 3.914, 3.914 and 18.706 Å and the angles 90.00°, 90.00° and 90.00°. The distinct sites, in fractional coordinates, are Co at (0.000, 0.000, 0.000), Pd at (0.234, 0.250, 0.125) and Pb at (0.000, 0.000, 0.500).

The calculation puts the calculated formation energy at 0.295 eV/atom. The total magnetization is 0.42 μB per atom.

---

No. 3
Material: Co2PdPb2
Method: DFT, GGA-PBE
State: relaxed

The structure belongs to space group P4/mbm (No. 127); the cell edges are 6.801, 6.801 and 3.868 Å and the angles 90.00°, 90.00° and 90.00°. The distinct sites, in fractional coordinates, are Co at (0.120, 0.380, 0.000), Pd at (0.000, 0.000, 0.000) and Pb at (0.180, 0.680, 0.500).

The calculation puts the calculated formation energy at 0.290 eV/atom. The total magnetization is 0.52 μB per atom.

---

No. 4
Material: Co2Pd2Pb
Method: DFT, GGA-PBE
State: relaxed

The structure belongs to space group I4/mmm (No. 139); the cell edges are 3.427, 3.427 and 14.192 Å and the angles 90.00°, 90.00° and 90.00°. The distinct sites, in fractional coordinates, are Co at (0.000, 0.500, 0.250), Pd at (0.000, 0.000, 0.110) and Pb at (0.000, 0.000, 0.500).

The calculation puts the calculated formation energy at 0.200 eV/atom. The total magnetization is 0.81 μB per atom.

---

No. 5
Material: CoPdRh2Pb
Method: DFT, GGA-PBE
State: relaxed

The structure belongs to space group P4/mmm (No. 123); the cell edges are 4.524, 4.524 and 4.641 Å and the angles 90.00°, 90.00° and 90.00°. The distinct sites, in fractional coordinates, are Co at (0.000, 0.000, 0.000), Pd at (0.000, 0.000, 0.500), Rh at (0.000, 0.500, 0.000) and Pb at (0.500, 0.500, 0.500).

The calculation puts the calculated formation energy at 0.649 eV/atom. The total magnetization is 0.55 μB per atom.

---

No. 6
Material: Co2SbPdPb
Method: DFT, GGA-PBE
State: relaxed

The structure belongs to space group P4/mmm (No. 123); the cell edges are 4.620, 4.620 and 5.818 Å and the angles 90.00°, 90.00° and 90.00°. The distinct sites, in fractional coordinates, are Co at (0.000, 0.500, 0.000), Sb at (0.000, 0.000, 0.000), Pd at (0.500, 0.500, 0.500) and Pb at (0.000, 0.000, 0.500).

The calculation puts the formation energy without anion corrections at 1101 meV per atom. The total magnetization is 0.60 μB per atom.

---

No. 7
Material: CoSnPd2Pb
Method: DFT, GGA-PBE
State: relaxed

The structure belongs to space group P4/mmm (No. 123); the cell edges are 5.081, 5.081 and 4.840 Å and the angles 90.00°, 90.00° and 90.00°. The distinct sites, in fractional coordinates, are Co at (0.000, 0.000, 0.000), Sn at (0.500, 0.500, 0.000), Pd at (0.000, 0.500, 0.500) and Pb at (0.000, 0.000, 0.500).

The calculation puts the calculated formation energy at 0.827 eV/atom. The total magnetization is 0.32 μB per atom.

---

No. 8
Material: SrCoPdPb2
Method: DFT, GGA-PBE
State: relaxed

The structure belongs to space group P4/mmm (No. 123); the cell edges are 6.085, 6.085 and 5.073 Å and the angles 90.00°, 90.00° and 90.00°. The distinct sites, in fractional coordinates, are Sr at (0.000, 0.000, 0.000), Co at (0.500, 0.500, 0.500), Pd at (0.000, 0.000, 0.500) and Pb at (0.000, 0.500, 0.000).

The calculation puts the calculated formation energy at 1.409 eV/atom. The total magnetization is 0.42 μB per atom.

---

No. 9
Material: Ta2CoPdPb
Method: DFT, GGA-PBE
State: relaxed

The structure belongs to space group P4/mmm (No. 123); the cell edges are 4.535, 4.535 and 4.787 Å and the angles 90.00°, 90.00° and 90.00°. The distinct sites, in fractional coordinates, are Ta at (0.000, 0.500, 0.000), Co at (0.000, 0.000, 0.000), Pd at (0.000, 0.000, 0.500) and Pb at (0.500, 0.500, 0.500).

The calculation puts the calculated formation energy at 0.629 eV/atom. The total magnetization is 0.00 μB per atom.

---

No. 10
Material: VCoPdPb2
Method: DFT, GGA-PBE
State: relaxed

The structure belongs to space group P4/mmm (No. 123); the cell edges are 4.878, 4.878 and 4.763 Å and the angles 90.00°, 90.00° and 90.00°. The distinct sites, in fractional coordinates, are V at (0.000, 0.000, 0.000), Co at (0.500, 0.500, 0.500), Pd at (0.500, 0.500, 0.000) and Pb at (0.000, 0.500, 0.500).

The calculation puts the calculated formation energy at 1.026 eV/atom. The total magnetization is 0.01 μB per atom.

---

No. 11
Material: Pm5CoPb2
Method: DFT, GGA-PBE
State: relaxed

The structure belongs to space group Cmcm (No. 63); the cell edges are 6.028, 10.161 and 15.874 Å and the angles 90.00°, 90.00° and 90.00°. The distinct sites, in fractional coordinates, are Pm at (0.000, 0.080, 0.124), Pm at (0.000, 0.250, 0.750), Pm at (0.000, 0.420, 0.125), Co at (0.000, 0.250, 0.250) and Pb at (0.000, 0.250, 0.551).

The calculation puts the calculated formation energy at -0.169 eV/atom. The total magnetization is 0.00 μB per atom.

---

No. 12
Material: Pm6CoPb2
Method: DFT, GGA-PBE
State: relaxed

The structure belongs to space group Amm2 (No. 38); the cell edges are 3.778, 15.621 and 9.022 Å and the angles 90.00°, 90.00° and 90.00°. The distinct sites, in fractional coordinates, are Pm at (0.000, 0.000, 0.000), Pm at (0.000, 0.115, 0.653), Pm at (0.500, 0.000, 0.369), Pm at (0.500, 0.200, 0.969), Co at (0.500, 0.000, 0.770) and Pb at (0.000, 0.167, 0.269).

The calculation puts the calculated formation energy at -0.317 eV/atom. The total magnetization is 0.00 μB per atom.

---

No. 13
Material: Pm4CoPb2
Method: DFT, GGA-PBE
State: relaxed

The structure belongs to space group I4/mmm (No. 139); the cell edges are 4.996, 4.996 and 17.169 Å and the angles 90.00°, 90.00° and 90.00°. The distinct sites, in fractional coordinates, are Pm at (0.000, 0.000, 0.173), Pm at (0.000, 0.500, 0.000), Co at (0.000, 0.000, 0.000) and Pb at (0.000, 0.000, 0.360).

The calculation puts the calculated formation energy at -0.319 eV/atom. The total magnetization is 0.00 μB per atom.

---

No. 14
Material: Pm12Co5Pb
Method: DFT, GGA-PBE
State: relaxed

The structure belongs to space group Immm (No. 71); the cell edges are 9.727, 9.793 and 10.093 Å and the angles 90.00°, 90.00° and 90.00°. The distinct sites, in fractional coordinates, are Pm at (0.000, 0.191, 0.199), Pm at (0.192, 0.500, 0.186), Pm at (0.202, 0.314, 0.500), Co at (0.000, 0.000, 0.000), Co at (0.000, 0.382, 0.000), Co at (0.000, 0.500, 0.389) and Pb at (0.000, 0.000, 0.500).

The calculation puts the calculated formation energy at -0.171 eV/atom. The total magnetization is 0.00 μB per atom.

---

No. 15
Material: Pm7Co2Pb2
Method: DFT, GGA-PBE
State: relaxed

The structure belongs to space group Cmmm (No. 65); the cell edges are 8.145, 11.282 and 7.235 Å and the angles 90.00°, 90.00° and 90.00°. The distinct sites, in fractional coordinates, are Pm at (0.000, 0.000, 0.000), Pm at (0.000, 0.500, 0.223), Pm at (0.250, 0.250, 0.239), Co at (0.000, 0.286, 0.000) and Pb at (0.186, 0.000, 0.500).

The calculation puts the calculated formation energy at -0.167 eV/atom. The total magnetization is 0.00 μB per atom.

---

No. 16
Material: Pm7CoPb4
Method: DFT, GGA-PBE
State: relaxed

The structure belongs to space group C2/m (No. 12); the cell edges are 16.374, 5.321 and 10.429 Å and the angles 90.00°, 122.11° and 90.00°. The distinct sites, in fractional coordinates, are Pm at (0.000, 0.000, 0.000), Pm at (0.086, 0.500, 0.285), Pm at (0.144, 0.000, 0.546), Pm at (0.175, 0.500, 0.008), Co at (0.000, 0.500, 0.000), Pb at (0.068, 0.000, 0.765) and Pb at (0.231, 0.000, 0.295).

The calculation puts the calculated formation energy at -0.309 eV/atom. The total magnetization is 0.00 μB per atom.

---

No. 17
Material: Pm12Co6Pb
Method: DFT, GGA-PBE
State: relaxed

The structure belongs to space group Im-3 (No. 204); the cell edges are 9.962, 9.962 and 9.962 Å and the angles 90.00°, 90.00° and 90.00°. The distinct sites, in fractional coordinates, are Pm at (0.000, 0.194, 0.306), Co at (0.000, 0.389, 0.500) and Pb at (0.000, 0.000, 0.000).

The calculation puts the calculated formation energy at -0.180 eV/atom. The total magnetization is 0.00 μB per atom.

---

No. 18
Material: Pm8CoPb3
Method: DFT, GGA-PBE
State: relaxed

The structure belongs to space group I4/mmm (No. 139); the cell edges are 7.362, 7.362 and 14.782 Å and the angles 90.00°, 90.00° and 90.00°. The distinct sites, in fractional coordinates, are Pm at (0.233, 0.233, 0.115), Co at (0.000, 0.000, 0.000), Pb at (0.000, 0.000, 0.500) and Pb at (0.000, 0.500, 0.250).

The calculation puts the calculated formation energy at -0.163 eV/atom. The total magnetization is 0.00 μB per atom.

---

No. 19
Material: Pm4CoPb2
Method: DFT, GGA-PBE
State: relaxed

The structure belongs to space group P2_1/m (No. 11); the cell edges are 6.416, 6.851 and 9.625 Å and the angles 90.00°, 102.30° and 90.00°. The distinct sites, in fractional coordinates, are Pm at (0.195, 0.250, 0.092), Pm at (0.220, 0.000, 0.741), Pm at (0.297, 0.750, 0.393), Co at (0.034, 0.750, 0.158), Pb at (0.199, 0.250, 0.438) and Pb at (0.373, 0.750, 0.047).

The calculation puts the calculated formation energy at -0.339 eV/atom. The total magnetization is 0.00 μB per atom.

---

No. 20
Material: Pm7Co2Pb
Method: DFT, GGA-PBE
State: relaxed

The structure belongs to space group I4/mmm (No. 139); the cell edges are 4.879, 4.879 and 23.515 Å and the angles 90.00°, 90.00° and 90.00°. The distinct sites, in fractional coordinates, are Pm at (0.000, 0.000, 0.000), Pm at (0.000, 0.500, 0.108), Pm at (0.000, 0.500, 0.250), Co at (0.000, 0.000, 0.173) and Pb at (0.000, 0.000, 0.500).

The calculation puts the calculated formation energy at -0.096 eV/atom. The total magnetization is 0.00 μB per atom.